Density functional theory data (GGA-PBE) for a relaxed CsSmCd17 crystal.

Computed properties:
V: 1406.5 Å³ per cell
Size of the total moment: 0.000 μB per atom
VASP energy: -67.38 eV/cell
Energy of formation from the pure elements: -0.0701 eV per atom
ρ: 7.771 Mg/m³

Cell and atoms, written as CIF:
```
data_CsSmCd17
_chemical_formula_sum 'Cs3 Sm3 Cd51'
_cell_length_a 10.3262
_cell_length_b 10.3262
_cell_length_c 15.2315
_cell_angle_alpha 90.00
_cell_angle_beta 90.00
_cell_angle_gamma 120.00
_space_group_name_H-M_alt 'R 3 m'
_space_group_IT_number 160
_space_group_name_Hall 'R 3 -2"'
loop_
_atom_site_label
_atom_site_fract_x
_atom_site_fract_y
_atom_site_fract_z
Cs1 0.0000 0.0000 0.0000
Sm1 0.0000 0.0000 0.3327
Cd1 0.0000 0.0000 0.5547
Cd2 0.0000 0.0000 0.7524
Cd3 0.0404 0.3697 0.3292
Cd4 0.1737 0.3475 0.1401
Cd5 0.1759 0.3517 0.4993
Cd6 0.1862 0.3724 0.8493
```